Entry from Alexandria via LeMat-Bulk: a relaxed Y8Tc2Ni crystal (PBE-GGA).

Space-group type: No. 8
ΔE_f, meV per atom: -32
Raw total energy, eV/cell: -78.58

Lattice parameters (Å, degrees): 7.623 7.623 5.930 101.28 101.28 112.59
Fractional coordinates of all 11 atoms:
Y: 0.000 0.000 0.000
Y: 0.029 0.290 0.592
Y: 0.162 0.575 0.202
Y: 0.290 0.029 0.592
Y: 0.450 0.715 0.800
Y: 0.575 0.162 0.202
Y: 0.715 0.450 0.800
Y: 0.728 0.728 0.395
Tc: 0.059 0.676 0.687
Tc: 0.676 0.059 0.687
Ni: 0.358 0.358 0.361

---

Entry from Alexandria via LeMat-Bulk: a relaxed CuBi2Pd7Pb2 crystal (PBE-GGA).

Space-group type: No. 12
ΔE_f, meV per atom: -119
Raw total energy, eV/cell: -57.05

Lattice parameters (Å, degrees): 3.972 3.972 15.700 94.74 94.74 89.42
Fractional coordinates of all 12 atoms:
Cu: 0.000 0.000 0.000
Bi: 0.139 0.139 0.392
Bi: 0.861 0.861 0.608
Pd: 0.040 0.540 0.123
Pd: 0.333 0.333 0.563
Pd: 0.460 0.960 0.877
Pd: 0.500 0.500 0.000
Pd: 0.540 0.040 0.123
Pd: 0.667 0.667 0.437
Pd: 0.960 0.460 0.877
Pb: 0.418 0.418 0.752
Pb: 0.582 0.582 0.248

---

Entry from Alexandria via LeMat-Bulk: a relaxed Gd2SnAu2 crystal (PBE-GGA).

Space-group type: No. 127
ΔE_f, meV per atom: -837
Raw total energy, eV/cell: -85.81

Lattice parameters (Å, degrees): 8.015 8.015 3.807 90.00 90.00 90.00
Fractional coordinates of all 10 atoms:
Gd: 0.171 0.329 0.000
Gd: 0.329 0.829 0.000
Gd: 0.671 0.171 0.000
Gd: 0.829 0.671 0.000
Sn: 0.000 0.000 0.500
Sn: 0.500 0.500 0.500
Au: 0.127 0.627 0.500
Au: 0.373 0.127 0.500
Au: 0.627 0.873 0.500
Au: 0.873 0.373 0.500

---

Entry from Alexandria via LeMat-Bulk: a relaxed KTl2Co crystal (PBE-GGA).

Space-group type: No. 119
ΔE_f, meV per atom: 635
Raw total energy, eV/cell: -10.40

Lattice parameters (Å, degrees): 5.673 5.673 5.673 128.91 128.91 75.16
Fractional coordinates of all 4 atoms:
K: 0.000 0.000 0.000
Tl: 0.250 0.750 0.500
Tl: 0.500 0.500 0.000
Co: 0.750 0.250 0.500

---

Entry from Alexandria via LeMat-Bulk: a relaxed PrHo4Al5 crystal (PBE-GGA).

Space-group type: No. 123
ΔE_f, meV per atom: -384
Raw total energy, eV/cell: -45.64

Lattice parameters (Å, degrees): 3.616 3.616 18.106 90.00 90.00 90.00
Fractional coordinates of all 10 atoms:
Pr: 0.000 0.000 0.000
Ho: 0.000 0.000 0.207
Ho: 0.000 0.000 0.402
Ho: 0.000 0.000 0.598
Ho: 0.000 0.000 0.793
Al: 0.500 0.500 0.111
Al: 0.500 0.500 0.305
Al: 0.500 0.500 0.500
Al: 0.500 0.500 0.695
Al: 0.500 0.500 0.889

---

Entry from Alexandria via LeMat-Bulk: a relaxed LaNb2Ru2 crystal (PBE-GGA).

Energy above the lowest structure with this stoichiometry, meV/atom: 252
Space-group type: No. 139
ΔE_f, meV per atom: 33
Raw total energy, eV/cell: -43.45

Lattice parameters (Å, degrees): 6.102 6.102 6.102 136.39 136.39 63.38
Fractional coordinates of all 5 atoms:
La: 0.000 0.000 0.000
Nb: 0.365 0.365 0.000
Nb: 0.635 0.635 0.000
Ru: 0.250 0.750 0.500
Ru: 0.750 0.250 0.500

---

Entry from Alexandria via LeMat-Bulk: a relaxed CsRb2TlAg crystal (PBE-GGA).

Energy above the lowest structure with this stoichiometry, meV/atom: 0
Space-group type: No. 123
ΔE_f, meV per atom: 70
Raw total energy, eV/cell: -7.66

Lattice parameters (Å, degrees): 7.070 7.070 5.579 90.00 90.00 90.00
Fractional coordinates of all 5 atoms:
Cs: 0.000 0.000 0.000
Rb: 0.000 0.500 0.500
Rb: 0.500 0.000 0.500
Tl: 0.500 0.500 0.000
Ag: 0.500 0.500 0.500

---

The lowest raw total energy belongs to which entry? Gd2SnAu2

---

Number 3 is which compound? Gd2SnAu2